Compound: CaCrWO6
Source: the Alexandria database
Functional: GGA+U
Structure: optimized geometry

Values from the calculation:
* E_tot: -7.24 eV per atom
* DOS(E_F): 0.2 states/eV/f.u.

a b c (Å): 4.818 4.818 9.438
angles (deg): 90.00 90.00 90.00
Fractional coordinates of all 18 atoms:
Ca: 0.000 0.000 0.000
Ca: 0.500 0.500 0.500
Cr: 0.000 0.000 0.330
Cr: 0.500 0.500 0.830
W: 0.000 0.000 0.662
W: 0.500 0.500 0.162
O: 0.174 0.174 0.497
O: 0.218 0.218 0.803
O: 0.220 0.220 0.186
O: 0.280 0.720 0.686
O: 0.282 0.718 0.303
O: 0.326 0.674 0.997
O: 0.674 0.326 0.997
O: 0.718 0.282 0.303
O: 0.720 0.280 0.686
O: 0.780 0.780 0.186
O: 0.782 0.782 0.803
O: 0.826 0.826 0.497